[1]
# NaAcPmTl (PBE, relaxed)
data_NaAcPmTl
_chemical_formula_sum 'Na4 Ac4 Pm4 Tl4'
_cell_length_a 8.084
_cell_length_b 8.084
_cell_length_c 8.084
_cell_angle_alpha 90.00
_cell_angle_beta 90.00
_cell_angle_gamma 90.00
_symmetry_space_group_name_H-M 'F -4 3 m'
_symmetry_Int_Tables_number 216
_symmetry_space_group_name_Hall 'F -4 2 3'
loop_
_atom_site_label
_atom_site_type_symbol
_atom_site_fract_x
_atom_site_fract_y
_atom_site_fract_z
Na1 Na 0.000 0.000 0.000
Ac1 Ac 0.250 0.250 0.250
Pm1 Pm 0.250 0.250 0.750
Tl1 Tl 0.000 0.000 0.500
# Raw total energy in Ha/atom: -0.1182
# ΔE_f in eV per atom: -0.081
# Total magnetic moment in μB/f.u.: 0.0
# Volume in Å³ per cell: 528.31
# D(E_F) in states/eV per atom: 1.232

=====

[2]
# Al4ZnIn (PBE, relaxed)
data_Al4ZnIn
_chemical_formula_sum 'Al16 Zn4 In4'
_cell_length_a 7.728
_cell_length_b 7.728
_cell_length_c 7.728
_cell_angle_alpha 90.00
_cell_angle_beta 90.00
_cell_angle_gamma 90.00
_symmetry_space_group_name_H-M 'F -4 3 m'
_symmetry_Int_Tables_number 216
_symmetry_space_group_name_Hall 'F -4 2 3'
loop_
_atom_site_label
_atom_site_type_symbol
_atom_site_fract_x
_atom_site_fract_y
_atom_site_fract_z
Al1 Al 0.125 0.125 0.125
Zn1 Zn 0.000 0.000 0.500
In1 In 0.250 0.250 0.750
# Raw total energy in Ha/atom: -0.1095
# ΔE_f in eV per atom: 0.185
# Total magnetic moment in μB/f.u.: 0.0
# Volume in Å³ per cell: 461.58
# D(E_F) in states/eV per atom: 0.192

=====

[3]
# LiTm8In2 (PBE, relaxed)
data_LiTm8In2
_chemical_formula_sum 'Li2 Tm16 In4'
_cell_length_a 17.590
_cell_length_b 5.191
_cell_length_c 6.817
_cell_angle_alpha 90.00
_cell_angle_beta 102.32
_cell_angle_gamma 90.00
_symmetry_space_group_name_H-M 'C 1 2/m 1'
_symmetry_Int_Tables_number 12
_symmetry_space_group_name_Hall '-C 2y'
loop_
_atom_site_label
_atom_site_type_symbol
_atom_site_fract_x
_atom_site_fract_y
_atom_site_fract_z
Li1 Li 0.000 0.000 0.000
Tm1 Tm 0.022 0.500 0.763
Tm2 Tm 0.094 0.000 0.454
Tm3 Tm 0.155 0.000 0.948
Tm4 Tm 0.188 0.500 0.263
In1 In 0.198 0.500 0.720
# Raw total energy in Ha/atom: -0.1483
# ΔE_f in eV per atom: -0.111
# Total magnetic moment in μB/f.u.: 0.0
# Volume in Å³ per cell: 608.10
# D(E_F) in states/eV per atom: 0.979

=====

Q: Which formula does entry 1 have?
A: NaAcPmTl